Record 1
A plane-wave DFT calculation with PBE-GGA was carried out for YZnAu2 after structural relaxation.

Uncorrected energy ... -4.083 eV per atom
Calculated volume ... 20.4 Å³/atom

Unit cell a=4.5870 b=4.5870 c=3.8819 alpha=90.00 beta=90.00 gamma=89.98
Last column: nearest neighbours and their distance in Å.
Fractional coordinates of all 4 atoms:
Au (0.0000, 0.0000, 0.0000)  4 Zn 3.00, 4 Y 3.00, 4 Au 3.24
Au (0.5000, 0.5000, 0.0000)  4 Y 3.00, 4 Zn 3.00, 4 Au 3.24
Y (0.5000, 0.0000, 0.5000)  8 Au 3.00, 4 Zn 3.24
Zn (0.0000, 0.5000, 0.5000)  8 Au 3.00, 4 Y 3.24

Record 2
A plane-wave DFT calculation with PBE-GGA was carried out for YZnAu after structural relaxation.

Uncorrected energy ... -4.331 eV per atom
Calculated volume ... 20.9 Å³/atom

Unit cell a=6.9279 b=4.5423 c=10.4450 alpha=90.00 beta=130.42 gamma=90.00
Last column: nearest neighbours and their distance in Å.
Fractional coordinates of all 12 atoms:
Y (0.2129, 0.0000, 0.4674)  6 Au 3.02-3.26, 6 Zn 3.11-3.26
Y (0.7871, 0.0000, 0.5326)  6 Au 3.02-3.26, 6 Zn 3.11-3.26
Y (0.2129, 0.5000, 0.9674)  6 Au 3.02-3.26, 6 Zn 3.11-3.26
Y (0.7871, 0.5000, 0.0326)  6 Au 3.02-3.26, 6 Zn 3.11-3.26
Zn (0.3851, 0.0000, 0.8414)  1 Zn 2.58, 2 Au 2.63
Zn (0.6149, 0.0000, 0.1586)  1 Zn 2.58, 2 Au 2.63
Zn (0.3851, 0.5000, 0.3414)  1 Zn 2.58, 2 Au 2.63
Zn (0.6149, 0.5000, 0.6586)  1 Zn 2.58, 2 Au 2.63
Au (0.7923, 0.0000, 0.8242)  3 Zn 2.63-2.94, 1 Au 2.84
Au (0.2077, 0.0000, 0.1758)  3 Zn 2.63-2.94, 1 Au 2.84
Au (0.7923, 0.5000, 0.3242)  3 Zn 2.63-2.94, 1 Au 2.84
Au (0.2077, 0.5000, 0.6758)  3 Zn 2.63-2.94, 1 Au 2.84

Record 3
A plane-wave DFT calculation with PBE-GGA was carried out for YZn4Au after structural relaxation.

Uncorrected energy ... -2.722 eV per atom
Calculated volume ... 17.6 Å³/atom

Unit cell a=5.3036 b=5.3036 c=5.3036 alpha=60.00 beta=60.00 gamma=60.00
Last column: nearest neighbours and their distance in Å.
Fractional coordinates of all 6 atoms:
Y (0.0000, 0.0000, 0.0000)  12 Zn 3.11, 4 Au 3.25
Zn (0.3750, 0.8751, 0.3750)  6 Zn 2.65
Zn (0.8751, 0.3750, 0.3750)  6 Zn 2.65
Zn (0.3750, 0.3750, 0.8751)  6 Zn 2.65
Zn (0.3750, 0.3750, 0.3750)  6 Zn 2.65
Au (0.7500, 0.7500, 0.7500)  12 Zn 3.11, 4 Y 3.25